First-principles (PBE) data for crystalline Si4AgAs at its relaxed geometry, as listed in the Alexandria database.

Lattice parameters (Å, degrees): 5.218 5.218 5.218 60.00 60.00 60.00
Element x y z (fractional)
Si1 0.625 0.625 0.126
Si2 0.625 0.126 0.625
Si3 0.625 0.625 0.625
Si4 0.126 0.625 0.625
Ag1 0.250 0.250 0.250
As1 0.000 0.000 0.000

Computed properties:
* Fermi-level density of states: 2.69 states/eV/f.u.
* total magnetization: 0.00 μB per formula unit
* raw formation energy: 341 kJ/mol of formula units